# 1
{
  "formula": "Ce8Hg2Pb",
  "functional": "PBE",
  "state": "optimized geometry",
  "m_tot_mub_per_atom": 0.4634,
  "final_energy_ev_per_fu": -52.9,
  "mass_density_g_cm3": 8.873,
  "formation_energy_mev_per_atom": -100,
  "cell": [[5.599, 0.900, 0.000], [1.510, 8.372, 0.000], [0.755, 4.186, 7.111]],
  "species": ["Ce", "Ce", "Ce", "Ce", "Ce", "Ce", "Ce", "Ce", "Hg", "Hg", "Pb"],
  "frac_coords": [[0.915, 0.081, 0.195], [0.915, 0.276, 0.805], [0.341, 0.410, 0.000], [0.500, 0.765, 0.469], [0.500, 0.235, 0.531], [0.659, 0.590, 0.000], [0.085, 0.724, 0.195], [0.085, 0.919, 0.805], [0.000, 0.310, 0.379], [0.000, 0.690, 0.621], [0.500, 0.000, 0.000]]
}



# 2
{
  "formula": "Ce4Hg2Pb3",
  "functional": "PBE",
  "state": "optimized geometry",
  "m_tot_mub_per_atom": 0.4547,
  "final_energy_ev_per_fu": -37.6,
  "mass_density_g_cm3": 9.937,
  "formation_energy_mev_per_atom": -240,
  "cell": [[10.491, 0.000, 0.000], [0.000, 6.507, 0.000], [-5.245, 0.000, 7.752]],
  "species": ["Ce", "Ce", "Ce", "Ce", "Ce", "Ce", "Ce", "Ce", "Hg", "Hg", "Hg", "Hg", "Pb", "Pb", "Pb", "Pb", "Pb", "Pb"],
  "frac_coords": [[0.671, 0.750, 0.842], [0.829, 0.250, 0.158], [0.329, 0.250, 0.158], [0.171, 0.750, 0.842], [0.208, 0.025, 0.417], [0.792, 0.975, 0.583], [0.292, 0.525, 0.583], [0.708, 0.475, 0.417], [0.092, 0.533, 0.184], [0.908, 0.467, 0.816], [0.408, 0.033, 0.816], [0.592, 0.967, 0.184], [0.000, 0.000, 0.000], [0.500, 0.500, 0.000], [0.422, 0.750, 0.344], [0.078, 0.250, 0.656], [0.578, 0.250, 0.656], [0.922, 0.750, 0.344]]
}



# 3
{
  "formula": "Ce6HgPb3",
  "functional": "PBE",
  "state": "optimized geometry",
  "m_tot_mub_per_atom": 0.4349,
  "final_energy_ev_per_fu": -49.2,
  "mass_density_g_cm3": 9.164,
  "formation_energy_mev_per_atom": -221,
  "cell": [[8.290, 0.000, 0.000], [0.000, 8.453, 1.145], [0.000, -0.770, 8.495]],
  "species": ["Ce", "Ce", "Ce", "Ce", "Ce", "Ce", "Ce", "Ce", "Ce", "Ce", "Ce", "Ce", "Hg", "Hg", "Pb", "Pb", "Pb", "Pb", "Pb", "Pb"],
  "frac_coords": [[0.178, 0.761, 0.548], [0.678, 0.548, 0.761], [0.301, 0.544, 0.952], [0.801, 0.952, 0.544], [0.180, 0.084, 0.916], [0.608, 0.231, 0.769], [0.108, 0.769, 0.231], [0.680, 0.916, 0.084], [0.301, 0.048, 0.456], [0.801, 0.456, 0.048], [0.178, 0.452, 0.239], [0.678, 0.239, 0.452], [0.979, 0.308, 0.692], [0.479, 0.692, 0.308], [0.470, 0.870, 0.771], [0.970, 0.771, 0.870], [0.321, 0.406, 0.594], [0.821, 0.594, 0.406], [0.970, 0.130, 0.229], [0.470, 0.229, 0.130]]
}



# 4
{
  "formula": "Ce3HgPb5",
  "functional": "PBE",
  "state": "optimized geometry",
  "m_tot_mub_per_atom": 0.2502,
  "final_energy_ev_per_fu": -39.1,
  "mass_density_g_cm3": 10.467,
  "formation_energy_mev_per_atom": -271,
  "cell": [[6.646, 0.000, 0.000], [0.000, 9.558, 0.000], [0.000, -4.779, 8.277]],
  "species": ["Ce", "Ce", "Ce", "Ce", "Ce", "Ce", "Hg", "Hg", "Pb", "Pb", "Pb", "Pb", "Pb", "Pb", "Pb", "Pb", "Pb", "Pb"],
  "frac_coords": [[0.750, 0.368, 0.000], [0.750, 0.632, 0.632], [0.750, 0.000, 0.368], [0.250, 0.632, 0.000], [0.250, 0.368, 0.368], [0.250, 0.000, 0.632], [0.000, 0.000, 0.000], [0.500, 0.000, 0.000], [0.000, 0.333, 0.667], [0.500, 0.667, 0.333], [0.000, 0.667, 0.333], [0.500, 0.333, 0.667], [0.750, 0.708, 0.000], [0.750, 0.292, 0.292], [0.750, 0.000, 0.708], [0.250, 0.292, 0.000], [0.250, 0.708, 0.708], [0.250, 0.000, 0.292]]
}



# 5
{
  "formula": "Ce3Hg2Pb",
  "functional": "PBE",
  "state": "optimized geometry",
  "m_tot_mub_per_atom": 0.6923,
  "final_energy_ev_per_fu": -24.0,
  "mass_density_g_cm3": 9.851,
  "formation_energy_mev_per_atom": -315,
  "cell": [[5.462, 0.000, 0.000], [-2.731, 4.730, 0.000], [0.000, 0.000, 6.711]],
  "species": ["Ce", "Ce", "Ce", "Hg", "Hg", "Pb"],
  "frac_coords": [[0.000, 0.000, 0.500], [0.667, 0.333, 0.838], [0.333, 0.667, 0.162], [0.667, 0.333, 0.351], [0.333, 0.667, 0.649], [0.000, 0.000, 0.000]]
}



# 6
{
  "formula": "CeHgPb2",
  "functional": "PBE",
  "state": "optimized geometry",
  "m_tot_mub_per_atom": 0.2385,
  "final_energy_ev_per_fu": -15.1,
  "relative_energy_ev_per_fu": 0.00,
  "mass_density_g_cm3": 11.254,
  "formation_energy_mev_per_atom": -355,
  "cell": [[-3.566, 1.882, -2.340], [-0.749, -4.258, -2.283], [-3.059, -1.370, 3.559]],
  "species": ["Pb", "Pb", "Hg", "Ce"],
  "frac_coords": [[0.000, 0.000, 0.500], [0.000, 0.500, 0.000], [0.500, 0.000, 0.000], [0.500, 0.500, 0.500]]
}



# 7
{
  "formula": "Ce6Hg5Pb",
  "functional": "PBE",
  "state": "optimized geometry",
  "m_tot_mub_per_atom": 0.5463,
  "final_energy_ev_per_fu": -44.6,
  "relative_energy_ev_per_fu": 0.00,
  "mass_density_g_cm3": 10.574,
  "formation_energy_mev_per_atom": -316,
  "cell": [[10.407, -0.520, 0.000], [2.430, 4.150, 0.000], [1.215, 2.075, 7.245]],
  "species": ["Ce", "Ce", "Ce", "Ce", "Ce", "Ce", "Hg", "Hg", "Hg", "Hg", "Hg", "Pb"],
  "frac_coords": [[0.747, 0.081, 0.344], [0.253, 0.575, 0.344], [0.254, 0.246, 0.000], [0.746, 0.754, 0.000], [0.747, 0.425, 0.656], [0.253, 0.919, 0.656], [0.500, 0.165, 0.671], [0.000, 0.334, 0.332], [0.500, 0.500, 0.000], [0.000, 0.666, 0.668], [0.500, 0.835, 0.329], [0.000, 0.000, 0.000]]
}



# 8
{
  "formula": "Ce4HgPb3",
  "functional": "PBE",
  "state": "optimized geometry",
  "m_tot_mub_per_atom": 0.6401,
  "final_energy_ev_per_fu": -38.2,
  "relative_energy_ev_per_fu": 0.00,
  "mass_density_g_cm3": 9.891,
  "formation_energy_mev_per_atom": -378,
  "cell": [[-2.371, 3.942, 2.117], [-0.008, -2.400, 4.459], [9.190, 2.956, -1.267]],
  "species": ["Pb", "Pb", "Pb", "Hg", "Ce", "Ce", "Ce", "Ce"],
  "frac_coords": [[0.000, 0.500, 0.000], [0.750, 0.250, 0.500], [0.250, 0.750, 0.500], [0.500, 0.000, 0.000], [0.377, 0.377, 0.754], [0.623, 0.623, 0.246], [0.123, 0.123, 0.246], [0.877, 0.877, 0.754]]
}



# 9
{
  "formula": "Ce7Hg2Pb2",
  "functional": "PBE",
  "state": "optimized geometry",
  "m_tot_mub_per_atom": 0.5526,
  "final_energy_ev_per_fu": -49.7,
  "mass_density_g_cm3": 8.404,
  "formation_energy_mev_per_atom": -16,
  "cell": [[-1.529, -6.555, -2.786], [3.508, 1.597, -5.686], [6.262, -1.124, 3.549]],
  "species": ["Ce", "Ce", "Ce", "Ce", "Ce", "Ce", "Ce", "Hg", "Hg", "Pb", "Pb"],
  "frac_coords": [[0.000, 0.304, 0.500], [0.500, 0.696, 0.000], [0.000, 0.696, 0.500], [0.500, 0.304, 0.000], [0.000, 0.000, 0.000], [0.500, 0.699, 0.500], [0.500, 0.301, 0.500], [0.716, 0.000, 0.284], [0.284, 0.000, 0.716], [0.835, 0.500, 0.835], [0.165, 0.500, 0.165]]
}



# 10
{
  "formula": "Ce3Hg2Pb",
  "functional": "PBE",
  "state": "optimized geometry",
  "m_tot_mub_per_atom": 0.6206,
  "final_energy_ev_per_fu": -24.0,
  "mass_density_g_cm3": 10.050,
  "formation_energy_mev_per_atom": -314,
  "cell": [[-2.543, -3.151, 0.696], [3.205, -2.362, 1.015], [-0.929, 2.870, 9.608]],
  "species": ["Ce", "Ce", "Ce", "Hg", "Hg", "Pb"],
  "frac_coords": [[0.000, 0.000, 0.000], [0.000, 0.000, 0.665], [0.000, 0.000, 0.335], [0.500, 0.500, 0.834], [0.500, 0.500, 0.166], [0.500, 0.500, 0.500]]
}



# 11
{
  "formula": "Ce4HgPb3",
  "functional": "PBE",
  "state": "optimized geometry",
  "m_tot_mub_per_atom": 0.0179,
  "final_energy_ev_per_fu": -37.1,
  "relative_energy_ev_per_fu": 1.07,
  "mass_density_g_cm3": 10.470,
  "formation_energy_mev_per_atom": -244,
  "cell": [[-3.425, 2.478, 0.471], [-1.333, -2.676, 4.392], [7.591, 6.282, 2.930]],
  "species": ["Ce", "Ce", "Ce", "Ce", "Hg", "Pb", "Pb", "Pb"],
  "frac_coords": [[0.231, 0.731, 0.463], [0.769, 0.269, 0.537], [0.624, 0.625, 0.249], [0.376, 0.375, 0.751], [0.500, 0.000, 0.000], [0.000, 0.500, 0.000], [0.134, 0.135, 0.269], [0.866, 0.865, 0.731]]
}



# 12
{
  "formula": "Ce6Hg5Pb",
  "functional": "PBE",
  "state": "optimized geometry",
  "m_tot_mub_per_atom": 0.7202,
  "final_energy_ev_per_fu": -44.4,
  "relative_energy_ev_per_fu": 0.18,
  "mass_density_g_cm3": 9.979,
  "formation_energy_mev_per_atom": -301,
  "cell": [[-4.312, 2.909, -1.561], [2.952, 0.570, -7.090], [-3.187, -8.593, 2.164]],
  "species": ["Pb", "Hg", "Hg", "Hg", "Hg", "Hg", "Ce", "Ce", "Ce", "Ce", "Ce", "Ce"],
  "frac_coords": [[0.000, 0.000, 0.000], [0.670, 0.170, 0.341], [0.333, 0.333, 0.666], [0.000, 0.500, 0.000], [0.667, 0.667, 0.334], [0.330, 0.830, 0.659], [0.833, 0.582, 0.666], [0.833, 0.084, 0.666], [0.500, 0.748, 0.000], [0.500, 0.252, 0.000], [0.167, 0.916, 0.334], [0.167, 0.418, 0.334]]
}